Entry 1:
Here is a geometry-optimized CeScAlCd structure from the Alexandria database. Energies are from PBE.

Properties
The space group is No. 99. The value obtained for the density of states at the Fermi level is 5.83 states/eV/cell. For the energy relative to the elements, the calculation gives -0.310 eV/atom. For the energy above the most stable polymorph in this dataset, the calculation gives 0 meV per atom.

a = 3.211 Å, b = 3.211 Å, c = 8.689 Å
α = 90.00°, β = 90.00°, γ = 90.00°
Fractional positions:
Ce 0.000 0.000 0.000
Sc 0.000 0.000 0.529
Al 0.500 0.500 0.746
Cd 0.500 0.500 0.285

---

Entry 2:
Here is a geometry-optimized Cr3Rh structure from the Alexandria database. Energies are from PBE.

Properties
The space group is No. 221. The value obtained for the density of states at the Fermi level is 4.88 states/eV/cell. For the energy relative to the elements, the calculation gives 1.684 eV/atom. For the energy above the most stable polymorph in this dataset, the calculation gives 1641 meV per atom.

a = 4.845 Å, b = 4.845 Å, c = 4.845 Å
α = 90.00°, β = 90.00°, γ = 90.00°
Fractional positions:
Cr 0.000 0.000 0.500
Cr 0.000 0.500 0.000
Cr 0.500 0.000 0.000
Rh 0.000 0.000 0.000

---

Entry 3:
Here is a geometry-optimized CaPm4PrSe8 structure from the Alexandria database. Energies are from PBE.

Properties
The space group is No. 160. The value obtained for the density of states at the Fermi level is 3.94 states/eV/cell. For the total energy, the calculation gives -78.9 eV per formula unit.

a = 8.688 Å, b = 8.688 Å, c = 8.688 Å
α = 59.79°, β = 59.79°, γ = 59.79°
Fractional positions:
Ca 0.000 0.000 0.000
Pm 0.119 0.627 0.627
Pm 0.251 0.251 0.251
Pm 0.627 0.119 0.627
Pm 0.627 0.627 0.119
Pr 0.628 0.628 0.628
Se 0.381 0.381 0.853
Se 0.381 0.853 0.381
Se 0.384 0.384 0.384
Se 0.400 0.869 0.869
Se 0.853 0.381 0.381
Se 0.867 0.867 0.867
Se 0.869 0.400 0.869
Se 0.869 0.869 0.400

---

Entry 4:
Here is a geometry-optimized NdCdAg2 structure from the Alexandria database. Energies are from PBE.

Properties
The space group is No. 123. The value obtained for the density of states at the Fermi level is 2.88 states/eV/cell. For the energy relative to the elements, the calculation gives -0.160 eV/atom.

a = 3.560 Å, b = 3.560 Å, c = 7.228 Å
α = 90.00°, β = 90.00°, γ = 90.00°
Fractional positions:
Nd 0.000 0.000 0.000
Cd 0.000 0.000 0.500
Ag 0.500 0.500 0.282
Ag 0.500 0.500 0.718

---

Entry 5:
Here is a geometry-optimized SiNiSn3 structure from the Alexandria database. Energies are from PBE.

Properties
The space group is No. 221. The value obtained for the density of states at the Fermi level is 1.31 states/eV/cell. For the energy above the most stable polymorph in this dataset, the calculation gives 0 meV per atom.

a = 4.946 Å, b = 4.946 Å, c = 4.946 Å
α = 90.00°, β = 90.00°, γ = 90.00°
Fractional positions:
Si 0.000 0.000 0.000
Ni 0.500 0.500 0.500
Sn 0.000 0.500 0.500
Sn 0.500 0.000 0.500
Sn 0.500 0.500 0.000

---

Entry 6:
Here is a geometry-optimized MnTcSe4 structure from the Alexandria database. Energies are from PBE.

Properties
The space group is No. 216. The value obtained for the density of states at the Fermi level is 4.07 states/eV/cell. For the total energy, the calculation gives -26.8 eV per formula unit.

a = 5.636 Å, b = 5.636 Å, c = 5.636 Å
α = 60.00°, β = 60.00°, γ = 60.00°
Fractional positions:
Mn 0.000 0.000 0.000
Tc 0.250 0.250 0.250
Se 0.125 0.625 0.625
Se 0.625 0.125 0.625
Se 0.625 0.625 0.125
Se 0.625 0.625 0.625

---

Entry 7:
Here is a geometry-optimized Cs2AgIO structure from the Alexandria database. Energies are from PBE.

Properties
The space group is No. 123. The value obtained for the density of states at the Fermi level is 2.31 states/eV/cell. For the energy above the most stable polymorph in this dataset, the calculation gives 818 meV per atom.

a = 7.295 Å, b = 7.295 Å, c = 5.547 Å
α = 90.00°, β = 90.00°, γ = 90.00°
Fractional positions:
Cs 0.000 0.500 0.000
Cs 0.500 0.000 0.000
Ag 0.000 0.000 0.500
I 0.000 0.000 0.000
O 0.500 0.500 0.500

---

Entry 8:
Here is a geometry-optimized IrBr structure from the Alexandria database. Energies are from PBE.

Properties
The space group is No. 136. The value obtained for the density of states at the Fermi level is 5.83 states/eV/cell. For the energy above the most stable polymorph in this dataset, the calculation gives 633 meV per atom.

a = 7.768 Å, b = 7.768 Å, c = 3.246 Å
α = 90.00°, β = 90.00°, γ = 90.00°
Fractional positions:
Ir 0.112 0.112 0.000
Ir 0.388 0.612 0.500
Ir 0.612 0.388 0.500
Ir 0.888 0.888 0.000
Br 0.211 0.789 0.000
Br 0.289 0.289 0.500
Br 0.711 0.711 0.500
Br 0.789 0.211 0.000

---

Repeat the fourth record exactly.
Here is a geometry-optimized NdCdAg2 structure from the Alexandria database. Energies are from PBE.

Properties
The space group is No. 123. The value obtained for the density of states at the Fermi level is 2.88 states/eV/cell. For the energy relative to the elements, the calculation gives -0.160 eV/atom.

a = 3.560 Å, b = 3.560 Å, c = 7.228 Å
α = 90.00°, β = 90.00°, γ = 90.00°
Fractional positions:
Nd 0.000 0.000 0.000
Cd 0.000 0.000 0.500
Ag 0.500 0.500 0.282
Ag 0.500 0.500 0.718